1.
This record from Alexandria via LeMat-Bulk describes a relaxed structure of CrRu2W. The functional is PBE.

Unit cell a=3.072 b=3.072 c=6.062 alpha=90.00 beta=90.00 gamma=90.00
Positions (direct):
Cr: 0.000 0.000 0.000
Ru: 0.000 0.000 0.493
Ru: 0.500 0.500 0.182
W: 0.500 0.500 0.734

Values from the calculation:
As for the density of states at the Fermi level: 1.12 states/eV/atom. Its symmetry is No. 99. For the offset from the most stable computed form, the calculation gives 103.7 meV per atom. The formation energy comes out at 0.184 eV per atom.


2.
This record from Alexandria via LeMat-Bulk describes a relaxed structure of LiGeO2. The functional is PBE.

Unit cell a=5.965 b=5.965 c=5.965 alpha=30.79 beta=30.79 gamma=30.79
Positions (direct):
Li: 0.000 0.000 0.000
Ge: 0.500 0.500 0.500
O: 0.105 0.105 0.105
O: 0.895 0.895 0.895

Values from the calculation:
As for the density of states at the Fermi level: 0.66 states/eV/atom. The value obtained for the uncorrected formation energy is -1.22 eV/atom. Its symmetry is No. 166.


3.
This record from Alexandria via LeMat-Bulk describes a relaxed structure of Ca2Zn5Ag2Pd. The functional is PBE.

Unit cell a=10.073 b=10.073 c=3.838 alpha=90.00 beta=90.00 gamma=90.00
Positions (direct):
Ca: 0.178 0.322 0.000
Ca: 0.322 0.822 0.000
Ca: 0.678 0.178 0.000
Ca: 0.822 0.678 0.000
Zn: 0.000 0.500 0.500
Zn: 0.049 0.814 0.500
Zn: 0.186 0.049 0.500
Zn: 0.314 0.549 0.500
Zn: 0.451 0.314 0.500
Zn: 0.500 0.000 0.500
Zn: 0.549 0.686 0.500
Zn: 0.686 0.451 0.500
Zn: 0.814 0.951 0.500
Zn: 0.951 0.186 0.500
Ag: 0.123 0.623 0.000
Ag: 0.377 0.123 0.000
Ag: 0.623 0.877 0.000
Ag: 0.877 0.377 0.000
Pd: 0.000 0.000 0.000
Pd: 0.500 0.500 0.000

Values from the calculation:
As for the density of states at the Fermi level: 0.54 states/eV/atom. Its symmetry is No. 127. The formation energy comes out at -0.206 eV per atom.


4.
This record from Alexandria via LeMat-Bulk describes a relaxed structure of Nd4Te3Ir. The functional is PBE.

Unit cell a=6.306 b=10.218 c=9.420 alpha=90.00 beta=90.00 gamma=90.00
Positions (direct):
Nd: 0.250 0.031 0.187
Nd: 0.250 0.250 0.632
Nd: 0.250 0.469 0.187
Nd: 0.250 0.750 0.657
Nd: 0.750 0.250 0.343
Nd: 0.750 0.531 0.813
Nd: 0.750 0.750 0.368
Nd: 0.750 0.969 0.813
Te: 0.250 0.007 0.847
Te: 0.250 0.493 0.847
Te: 0.250 0.750 0.324
Te: 0.750 0.250 0.676
Te: 0.750 0.507 0.153
Te: 0.750 0.993 0.153
Ir: 0.250 0.250 0.347
Ir: 0.750 0.750 0.653

Values from the calculation:
As for the density of states at the Fermi level: 1.26 states/eV/atom. The value obtained for the uncorrected formation energy is -0.98 eV/atom. Its symmetry is No. 59. For the offset from the most stable computed form, the calculation gives 247.7 meV per atom.


5.
This record from Alexandria via LeMat-Bulk describes a relaxed structure of Pm2PrTm9. The functional is PBE.

Unit cell a=5.797 b=5.797 c=11.231 alpha=90.00 beta=90.00 gamma=90.00
Positions (direct):
Pm: 0.000 0.000 0.165
Pm: 0.000 0.000 0.835
Pr: 0.000 0.000 0.500
Tm: 0.000 0.500 0.000
Tm: 0.000 0.500 0.332
Tm: 0.000 0.500 0.668
Tm: 0.500 0.000 0.000
Tm: 0.500 0.000 0.332
Tm: 0.500 0.000 0.668
Tm: 0.500 0.500 0.166
Tm: 0.500 0.500 0.500
Tm: 0.500 0.500 0.834

Values from the calculation:
As for the density of states at the Fermi level: 1.84 states/eV/atom. Its symmetry is No. 123. For the offset from the most stable computed form, the calculation gives 65.6 meV per atom. The formation energy comes out at 0.124 eV per atom.


6.
This record from Alexandria via LeMat-Bulk describes a relaxed structure of Ba2Ga3SnAu12. The functional is PBE.

Unit cell a=8.894 b=8.894 c=8.894 alpha=59.50 beta=59.50 gamma=59.50
Positions (direct):
Ba: 0.106 0.106 0.106
Ba: 0.894 0.894 0.894
Ga: 0.000 0.500 0.500
Ga: 0.500 0.000 0.500
Ga: 0.500 0.500 0.000
Sn: 0.500 0.500 0.500
Au: 0.132 0.624 0.624
Au: 0.159 0.159 0.515
Au: 0.159 0.515 0.159
Au: 0.376 0.376 0.868
Au: 0.376 0.868 0.376
Au: 0.485 0.841 0.841
Au: 0.515 0.159 0.159
Au: 0.624 0.132 0.624
Au: 0.624 0.624 0.132
Au: 0.841 0.485 0.841
Au: 0.841 0.841 0.485
Au: 0.868 0.376 0.376

Values from the calculation:
As for the density of states at the Fermi level: 0.34 states/eV/atom. Its symmetry is No. 166. The formation energy comes out at -0.165 eV per atom.


7.
This record from Alexandria via LeMat-Bulk describes a relaxed structure of Ac3Mg2Ru. The functional is PBE.

Unit cell a=5.717 b=4.058 c=9.297 alpha=90.00 beta=107.77 gamma=90.00
Positions (direct):
Ac: 0.000 0.000 0.000
Ac: 0.377 0.500 0.754
Ac: 0.623 0.500 0.246
Mg: 0.205 0.000 0.411
Mg: 0.795 0.000 0.589
Ru: 0.500 0.000 0.000

Values from the calculation:
As for the density of states at the Fermi level: 0.80 states/eV/atom. Its symmetry is No. 10. The formation energy comes out at -0.097 eV per atom.


8.
This record from Alexandria via LeMat-Bulk describes a relaxed structure of KFeBr2. The functional is PBE.

Unit cell a=5.284 b=5.284 c=3.623 alpha=90.24 beta=90.24 gamma=90.00
Positions (direct):
K: 0.000 0.000 0.000
Fe: 0.500 0.500 0.000
Br: 0.000 0.500 0.500
Br: 0.500 0.000 0.500

Values from the calculation:
As for the density of states at the Fermi level: 0.86 states/eV/atom. The value obtained for the uncorrected formation energy is -0.32 eV/atom. Its symmetry is No. 12. For the offset from the most stable computed form, the calculation gives 306.8 meV per atom.


9.
This record from Alexandria via LeMat-Bulk describes a relaxed structure of BHPb. The functional is PBE.

Unit cell a=7.870 b=3.178 c=7.526 alpha=90.00 beta=90.00 gamma=90.00
Positions (direct):
B: 0.000 0.000 0.000
B: 0.000 0.500 0.000
B: 0.500 0.000 0.500
B: 0.500 0.500 0.500
H: 0.103 0.250 0.413
H: 0.397 0.750 0.913
H: 0.603 0.250 0.087
H: 0.897 0.750 0.587
Pb: 0.162 0.750 0.662
Pb: 0.338 0.250 0.162
Pb: 0.662 0.750 0.838
Pb: 0.838 0.250 0.338

Values from the calculation:
As for the density of states at the Fermi level: 0.09 states/eV/atom. Its symmetry is No. 62. For the offset from the most stable computed form, the calculation gives 343.8 meV per atom.


10.
This record from Alexandria via LeMat-Bulk describes a relaxed structure of ThTi2Re. The functional is PBE.

Unit cell a=3.201 b=3.201 c=7.732 alpha=90.00 beta=90.00 gamma=90.00
Positions (direct):
Th: 0.000 0.000 0.000
Ti: 0.500 0.500 0.313
Ti: 0.500 0.500 0.687
Re: 0.000 0.000 0.500

Values from the calculation:
As for the density of states at the Fermi level: 0.80 states/eV/atom. Its symmetry is No. 123. The formation energy comes out at -0.124 eV per atom.


11.
This record from Alexandria via LeMat-Bulk describes a relaxed structure of Rb2MgIn4Pb3. The functional is PBE.

Unit cell a=5.197 b=5.197 c=12.848 alpha=90.00 beta=90.00 gamma=90.00
Positions (direct):
Rb: 0.000 0.500 0.246
Rb: 0.500 0.000 0.754
Mg: 0.000 0.000 0.500
In: 0.000 0.000 0.000
In: 0.000 0.500 0.629
In: 0.500 0.000 0.371
In: 0.500 0.500 0.000
Pb: 0.000 0.500 0.865
Pb: 0.500 0.000 0.135
Pb: 0.500 0.500 0.500

Values from the calculation:
As for the density of states at the Fermi level: 0.32 states/eV/atom. Its symmetry is No. 115. The formation energy comes out at -0.080 eV per atom.


12.
This record from Alexandria via LeMat-Bulk describes a relaxed structure of ScMoW2. The functional is PBE.

Unit cell a=5.430 b=5.430 c=5.430 alpha=138.93 beta=138.93 gamma=59.48
Positions (direct):
Sc: 0.000 0.000 0.000
Mo: 0.500 0.500 0.000
W: 0.250 0.750 0.500
W: 0.750 0.250 0.500

Values from the calculation:
As for the density of states at the Fermi level: 1.06 states/eV/atom. Its symmetry is No. 139. For the offset from the most stable computed form, the calculation gives 255.7 meV per atom. The formation energy comes out at 0.345 eV per atom.


13.
This record from Alexandria via LeMat-Bulk describes a relaxed structure of YAgHgPt. The functional is PBE.

Unit cell a=4.879 b=4.879 c=4.879 alpha=60.00 beta=60.00 gamma=60.00
Positions (direct):
Y: 0.000 0.000 0.000
Ag: 0.750 0.750 0.750
Hg: 0.500 0.500 0.500
Pt: 0.250 0.250 0.250

Values from the calculation:
As for the density of states at the Fermi level: 0.59 states/eV/atom. Its symmetry is No. 216. The formation energy comes out at -0.513 eV per atom.


14.
This record from Alexandria via LeMat-Bulk describes a relaxed structure of AsH3Au. The functional is PBE.

Unit cell a=3.746 b=3.746 c=3.746 alpha=90.00 beta=90.00 gamma=90.00
Positions (direct):
As: 0.000 0.000 0.000
H: 0.000 0.000 0.500
H: 0.000 0.500 0.000
H: 0.500 0.000 0.000
Au: 0.500 0.500 0.500

Values from the calculation:
As for the density of states at the Fermi level: 0.38 states/eV/atom. Its symmetry is No. 221. For the offset from the most stable computed form, the calculation gives 0.0 meV per atom.


15.
This record from Alexandria via LeMat-Bulk describes a relaxed structure of LaTmNi2Ge2. The functional is PBE.

Unit cell a=4.282 b=4.282 c=7.289 alpha=90.00 beta=90.00 gamma=120.00
Positions (direct):
La: 0.000 0.000 0.000
Tm: 0.000 0.000 0.500
Ni: 0.333 0.667 0.696
Ni: 0.667 0.333 0.304
Ge: 0.333 0.667 0.281
Ge: 0.667 0.333 0.719

Values from the calculation:
As for the density of states at the Fermi level: 0.85 states/eV/atom. Its symmetry is No. 164. The formation energy comes out at -0.764 eV per atom.


16.
This record from Alexandria via LeMat-Bulk describes a relaxed structure of CaScAg2. The functional is PBE.

Unit cell a=4.926 b=4.926 c=4.926 alpha=60.00 beta=60.00 gamma=60.00
Positions (direct):
Ca: 0.000 0.000 0.000
Sc: 0.750 0.750 0.750
Ag: 0.250 0.250 0.250
Ag: 0.500 0.500 0.500

Values from the calculation:
As for the density of states at the Fermi level: 0.92 states/eV/atom. Its symmetry is No. 216. The formation energy comes out at -0.036 eV per atom.


17.
This record from Alexandria via LeMat-Bulk describes a relaxed structure of LiNdCuPt. The functional is PBE.

Unit cell a=4.814 b=4.814 c=4.814 alpha=60.00 beta=60.00 gamma=60.00
Positions (direct):
Li: 0.000 0.000 0.000
Nd: 0.500 0.500 0.500
Cu: 0.750 0.750 0.750
Pt: 0.250 0.250 0.250

Values from the calculation:
As for the density of states at the Fermi level: 0.85 states/eV/atom. Its symmetry is No. 216. The formation energy comes out at -0.436 eV per atom.


18.
This record from Alexandria via LeMat-Bulk describes a relaxed structure of NaPuGeN3. The functional is PBE.

Unit cell a=6.878 b=3.447 c=8.555 alpha=90.00 beta=94.52 gamma=90.00
Positions (direct):
Na: 0.133 0.250 0.129
Na: 0.867 0.750 0.871
Pu: 0.384 0.750 0.847
Pu: 0.616 0.250 0.153
Ge: 0.092 0.250 0.609
Ge: 0.908 0.750 0.391
N: 0.146 0.250 0.822
N: 0.155 0.750 0.516
N: 0.415 0.750 0.102
N: 0.585 0.250 0.898
N: 0.845 0.250 0.484
N: 0.854 0.750 0.178

Values from the calculation:
As for the density of states at the Fermi level: 1.29 states/eV/atom. The value obtained for the uncorrected formation energy is -0.36 eV/atom. Its symmetry is No. 11.


19.
This record from Alexandria via LeMat-Bulk describes a relaxed structure of AlOsRu2. The functional is PBE.

Unit cell a=6.612 b=6.612 c=6.612 alpha=129.16 beta=129.16 gamma=74.75
Positions (direct):
Al: 0.000 0.000 0.000
Al: 0.750 0.250 0.500
Os: 0.250 0.750 0.500
Os: 0.500 0.500 0.000
Ru: 0.137 0.625 0.012
Ru: 0.375 0.387 0.512
Ru: 0.613 0.125 0.988
Ru: 0.875 0.863 0.488

Values from the calculation:
As for the density of states at the Fermi level: 0.81 states/eV/atom. Its symmetry is No. 122. The formation energy comes out at 1.051 eV per atom.


20.
This record from Alexandria via LeMat-Bulk describes a relaxed structure of CaCd2Br. The functional is PBE.

Unit cell a=4.145 b=5.356 c=5.677 alpha=90.00 beta=90.00 gamma=90.00
Positions (direct):
Ca: 0.000 0.000 0.000
Cd: 0.500 0.500 0.253
Cd: 0.500 0.500 0.747
Br: 0.000 0.000 0.500

Values from the calculation:
As for the density of states at the Fermi level: 0.39 states/eV/atom. The value obtained for the uncorrected formation energy is -0.45 eV/atom. Its symmetry is No. 47. For the offset from the most stable computed form, the calculation gives 207.2 meV per atom.


Number 1: E_tot -40.392 eV per cell. Number 2: E_tot -21.318 eV per cell. Number 3: E_tot -46.657 eV per cell. Number 4: E_tot -90.436 eV per cell. Number 5: E_tot -53.040 eV per cell. Number 6: E_tot -59.224 eV per cell. Number 7: E_tot -25.373 eV per cell. Number 8: E_tot -14.192 eV per cell. Number 9: E_tot -48.254 eV per cell. Number 10: E_tot -36.155 eV per cell. Number 11: E_tot -26.405 eV per cell. Number 12: E_tot -41.690 eV per cell. Number 13: E_tot -17.712 eV per cell. Number 14: E_tot -14.286 eV per cell. Number 15: E_tot -34.782 eV per cell. Number 16: E_tot -14.181 eV per cell. Number 17: E_tot -18.564 eV per cell. Number 18: E_tot -94.830 eV per cell. Number 19: E_tot -58.640 eV per cell. Number 20: E_tot -7.320 eV per cell.